(1)
Computed, not measured: crystalline Np2SnCl11 at its relaxed geometry at the PBE level of DFT.

Calculated values
Formation energy without anion corrections, eV per atom: -1.33
Magnetization, μB per atom: 0.357

Cell and atoms, written as extended XYZ:
```
28
Lattice="10.393 0.000 5.417 4.748 8.826 3.569 1.093 0.132 10.582" Properties=species:S:1:pos:R:3 pbc="T T T"
Np 10.436 5.911 9.524
Np 5.799 3.047 10.044
Np 10.372 1.564 13.949
Np 5.863 7.394 5.618
Sn 12.176 6.719 14.676
Sn 4.059 2.240 4.892
Cl 10.657 6.221 12.072
Cl 5.577 2.737 7.496
Cl 4.343 5.166 9.864
Cl 14.139 8.272 16.428
Cl 11.891 3.792 9.704
Cl 2.096 0.687 3.140
Cl 9.172 7.216 14.922
Cl 7.063 1.742 4.646
Cl 8.117 4.479 9.784
Cl 0.000 0.000 0.000
Cl 12.500 7.177 9.301
Cl 3.735 1.781 10.267
Cl 9.373 2.830 12.130
Cl 6.862 6.128 7.438
Cl 9.177 8.149 9.329
Cl 7.058 0.809 10.238
Cl 5.821 3.244 12.612
Cl 2.096 1.367 7.080
Cl 10.414 5.714 6.956
Cl 14.139 7.591 12.488
Cl 4.983 5.156 4.697
Cl 11.252 3.802 14.870
```

---

(2)
Computed, not measured: crystalline TaAgMo4 at its relaxed geometry at the PBE level of DFT.

Calculated values
ΔH_f (0 K), eV per atom: 0.35
Magnetization, μB per atom: 0.000

Cell and atoms, written as extended XYZ:
```
6
Lattice="0.000 3.717 3.717 3.717 0.000 3.717 3.717 3.717 0.000" Properties=species:S:1:pos:R:3 pbc="T T T"
Ta 5.576 5.576 5.576
Ag 0.000 0.000 0.000
Mo 2.784 4.650 4.650
Mo 4.650 4.650 2.784
Mo 4.650 2.784 4.650
Mo 2.784 2.784 2.784
```

---

(3)
Computed, not measured: crystalline Pm7Y2Ho at its relaxed geometry at the PBE level of DFT.

Calculated values
ΔH_f (0 K), eV per atom: 0.40
Magnetization, μB per atom: 0.000

Cell and atoms, written as extended XYZ:
```
10
Lattice="3.524 0.000 0.000 0.000 9.995 -2.723 0.000 -0.652 10.339" Properties=species:S:1:pos:R:3 pbc="T T T"
Pm 0.000 6.542 1.514
Pm 0.000 2.802 6.102
Pm 1.762 1.017 3.628
Pm 1.762 8.326 3.988
Pm 1.762 3.759 0.265
Pm 1.762 5.585 7.351
Pm 1.762 4.672 3.808
Y 1.762 8.210 -0.533
Y 1.762 1.134 8.149
Ho 0.000 0.000 0.000
```

---

(4)
Computed, not measured: crystalline Zn2Ga2Bi at its relaxed geometry at the PBE level of DFT.

Calculated values
ΔH_f (0 K), eV per atom: 0.10
Magnetization, μB per atom: 0.000

Cell and atoms, written as extended XYZ:
```
10
Lattice="7.943 0.000 0.000 0.000 7.943 0.000 0.000 0.000 3.259" Properties=species:S:1:pos:R:3 pbc="T T T"
Zn 3.013 6.985 0.000
Zn 6.985 4.930 0.000
Zn 4.930 0.959 0.000
Zn 0.959 3.013 0.000
Bi 0.000 0.000 0.000
Bi 3.972 3.972 0.000
Ga 1.382 5.354 1.629
Ga 5.354 6.561 1.629
Ga 6.561 2.590 1.629
Ga 2.590 1.382 1.629
```